(P)
# NaCoBAs

NaCoBAs after structural relaxation (PBE, OQMD).

Output
As for the symmetry: F-43m (216).

Unit cell a=4.2398 b=4.2398 c=4.2398 alpha=60.00 beta=60.00 gamma=60.00
Positions (direct):
1 As 0.2500 0.2500 0.2500
2 B 0.5000 0.5000 0.5000
3 Co 0.0000 0.0000 0.0000
4 Na 0.7500 0.7500 0.7500

***

(Q)
# NaCoBAs

NaCoBAs after structural relaxation (PBE, OQMD).

Output
As for the symmetry: F-43m (216).

Unit cell a=4.2199 b=4.2199 c=4.2199 alpha=60.00 beta=60.00 gamma=60.00
Positions (direct):
1 As 0.5000 0.5000 0.5000
2 B 0.2500 0.2500 0.2500
3 Co 0.0000 0.0000 0.0000
4 Na 0.7500 0.7500 0.7500

***

Order of stability, best first: (P), (Q)